Ho2InSn, relaxed, DFT GGA-PBE; crystal system = orthorhombic; density = 8.46 Mg/m³; energy of formation = -0.587 eV/atom
1.0
4.294 0.000 0.000
0.000 4.529 0.000
0.000 0.000 11.367
Ho In Sn
4 2 2
Cartesian
0.000 0.000 0.000
0.000 2.264 5.683
2.147 0.000 3.092
2.147 2.264 8.775
2.147 0.000 6.204
2.147 2.264 0.521
0.000 0.000 8.230
0.000 2.264 2.546

---

Ho2InSn, relaxed, DFT GGA-PBE; crystal system = tetragonal; density = 8.84 Mg/m³; energy of formation = -0.503 eV/atom
1.0
3.919 0.000 0.000
0.000 3.919 0.000
0.000 0.000 6.887
Ho In Sn
2 1 1
Cartesian
0.000 0.000 1.697
0.000 0.000 5.190
1.960 1.960 3.443
1.960 1.960 0.000

---

HoInSn2, relaxed, DFT GGA-PBE; relative energy among the computed polymorphs = 245 meV per atom; crystal system = trigonal; density = 7.87 Mg/m³; energy of formation = -0.164 eV/atom
1.0
5.327 0.000 0.000
-2.663 4.613 0.000
0.000 0.000 13.324
Ho In Sn
3 3 6
Cartesian
0.000 0.000 0.000
0.000 3.075 8.883
2.663 1.538 4.441
0.000 0.000 6.662
0.000 3.075 2.221
2.663 1.538 11.103
0.000 0.000 3.291
0.000 0.000 10.033
0.000 3.075 5.591
0.000 3.075 12.174
2.663 1.538 1.150
2.663 1.538 7.733

---

Ho3In3Sn, relaxed, DFT GGA-PBE; crystal system = hexagonal; density = 8.74 Mg/m³; energy of formation = -0.411 eV/atom
1.0
8.933 0.000 0.000
-4.467 7.736 0.000
0.000 0.000 5.266
Ho In Sn
6 6 2
Cartesian
-2.007 4.984 1.317
1.154 3.506 1.317
3.613 0.754 3.950
0.853 6.983 1.317
3.313 4.230 3.950
6.474 2.752 3.950
-3.241 6.293 3.950
0.637 1.783 3.950
1.863 0.340 1.317
2.604 7.397 3.950
3.830 5.953 1.317
7.708 1.443 1.317
0.000 5.158 3.950
4.467 2.579 1.317

---

HoIn2Sn2, relaxed, DFT GGA-PBE; relative energy among the computed polymorphs = 0 meV per atom; crystal system = orthorhombic; density = 8.04 Mg/m³; energy of formation = -0.290 eV/atom
1.0
2.208 -13.220 0.000
2.208 13.220 0.000
0.000 0.000 4.472
Ho In Sn
2 4 4
Cartesian
2.208 9.119 3.354
2.208 -9.119 1.118
2.208 11.811 1.118
2.208 1.319 1.118
2.208 -1.319 3.354
2.208 -11.811 3.354
2.208 6.607 1.118
2.208 3.831 3.354
2.208 -3.831 1.118
2.208 -6.607 3.354

---

Ho2InSn2, relaxed, DFT GGA-PBE; crystal system = tetragonal; density = 8.43 Mg/m³; energy of formation = -0.529 eV/atom
1.0
7.826 0.000 0.000
0.000 7.826 0.000
0.000 0.000 4.386
Ho In Sn
4 2 4
Cartesian
1.356 2.557 0.000
2.557 6.470 0.000
5.269 1.356 0.000
6.470 5.269 0.000
0.000 0.000 2.193
3.913 3.913 2.193
1.025 4.938 2.193
2.888 1.025 2.193
4.938 6.801 2.193
6.801 2.888 2.193